# SmInAs2Rh5, relaxed, DFT PBE-GGA
# Theoretical density (g/cm3): 8.59
# VASP energy (eV/cell): -57.31
# Formation energy from the elements (meV/atom): -422
data_SmInAs2Rh5
_space_group_name_H-M_alt 'P 4/m m m'
_space_group_IT_number 123
_space_group_name_Hall '-P 4 2'
_cell_length_a 4.094
_cell_length_b 4.094
_cell_length_c 10.723
_cell_angle_alpha 90.00
_cell_angle_beta 90.00
_cell_angle_gamma 90.00
loop_
_atom_site_label
_atom_site_fract_x
_atom_site_fract_y
_atom_site_fract_z
_atom_site_occupancy
Sm1 0.000 0.000 0.000 1
In1 0.000 0.000 0.500 1
As1 0.500 0.500 0.221 1
Rh1 0.000 0.500 0.333 1
Rh2 0.500 0.500 0.000 1